1.
Below is a PBEsol-optimized structure of InFe3Os, with properties calculated at the meta-GGA SCAN level.

Calculated values
E_form: 2.19 eV/atom
M_tot: 10.97 μB/f.u.
DOS(E_F): 3.15 states/eV per cell

Lattice parameters (Å, degrees): 4.5097 4.5097 4.5097 90.00 90.00 90.00
With the nearest neighbours (Å) after each atom.
Space group Pm-3m (No. 221)
Asymmetric unit:
In  0.0000  0.0000  0.0000 [1 per cell]  6 Fe 2.25
Fe  0.0000  0.0000  0.5000 [3 per cell]  2 In 2.25
Os  0.5000  0.5000  0.5000 [1 per cell]  12 Fe 3.19

---

2.
Below is a PBEsol-optimized structure of Sc2CuP, with properties calculated at the meta-GGA SCAN level.

Calculated values
E_form: -0.35 eV/atom
M_tot: 0.00 μB/f.u.
DOS(E_F): 6.23 states/eV per cell

Lattice parameters (Å, degrees): 3.9987 5.0166 7.1554 90.00 90.00 90.00
With the nearest neighbours (Å) after each atom.
Space group Cmm2 (No. 35)
Asymmetric unit:
Sc  0.0000  0.0000  0.0000 [2 per cell]  2 Cu 2.64, 1 P 2.91
Sc  0.0000  0.5000  0.3632 [2 per cell]  2 P 2.59, 1 Cu 2.84
Cu  0.0000  0.5000  0.7601 [2 per cell]  2 P 2.33
P  0.0000  0.0000  0.5936 [2 per cell]  2 Cu 2.33, 2 Sc 2.59

---

3.
Below is a PBEsol-optimized structure of ZnP2PbO7, with properties calculated at the meta-GGA SCAN level.

Calculated values
M_tot: 0.00 μB/f.u.
Formation energy (no corrections): -2205 meV/atom
DOS(E_F): 0.00 states/eV per cell

Lattice parameters (Å, degrees): 5.3275 8.2804 13.9011 90.00 112.27 90.00
With the nearest neighbours (Å) after each atom.
Space group P2_1/c (No. 14)
Asymmetric unit:
Zn  0.2260  0.1497  0.3946 [4 per cell]  5 O 2.00-2.11
P  0.0821  0.5345  0.3348 [4 per cell]  4 O 1.53-1.61
P  0.1590  0.6993  0.9806 [4 per cell]  4 O 1.53-1.62
Pb  0.4843  0.6717  0.7785 [4 per cell]  5 O 2.46-2.64
O  0.0189  0.1425  0.8465 [4 per cell]  1 P 1.53
O  0.1254  0.1661  0.5212 [4 per cell]  1 P 1.53
O  0.1656  0.6135  0.4483 [4 per cell]  2 P 1.61-1.62
O  0.1785  0.1188  0.2379 [4 per cell]  1 P 1.54
O  0.2178  0.5980  0.8985 [4 per cell]  1 P 1.54
O  0.3190  0.5590  0.3001 [4 per cell]  1 P 1.53
O  0.3880  0.6878  0.0882 [4 per cell]  1 P 1.53

---

4.
Below is a PBEsol-optimized structure of AlMoAs2, with properties calculated at the meta-GGA SCAN level.

Calculated values
E_form: 0.12 eV/atom
M_tot: 2.69 μB/f.u.
DOS(E_F): 8.52 states/eV per cell

Lattice parameters (Å, degrees): 5.7554 5.7554 11.0636 90.00 90.00 90.00
With the nearest neighbours (Å) after each atom.
Space group I-42d (No. 122)
Asymmetric unit:
Al  0.0000  0.0000  0.0000 [4 per cell]  4 As 2.47
Mo  0.0000  0.0000  0.5000 [4 per cell]  4 As 2.45
As  0.2457  0.2500  0.6250 [8 per cell]  2 Mo 2.45, 2 Al 2.47

---

5.
Below is a PBEsol-optimized structure of TaRh2Br, with properties calculated at the meta-GGA SCAN level.

Calculated values
M_tot: 0.00 μB/f.u.
Formation energy (no corrections): 408 meV/atom
DOS(E_F): 5.09 states/eV per cell
Energy above the most stable polymorph in this dataset: 16.63 kcal/mol of atoms

Lattice parameters (Å, degrees): 4.1249 4.1249 7.4445 90.00 90.00 90.00
With the nearest neighbours (Å) after each atom.
Space group I4/mmm (No. 139)
Asymmetric unit:
Ta  0.0000  0.0000  0.0000 [2 per cell]  8 Rh 2.78, 4 Br 2.92
Rh  0.0000  0.5000  0.2500 [4 per cell]  4 Ta 2.78, 4 Br 2.78, 4 Rh 2.92
Br  0.0000  0.0000  0.5000 [2 per cell]  8 Rh 2.78, 4 Ta 2.92

---

6.
Below is a PBEsol-optimized structure of BaTi2O5, with properties calculated at the meta-GGA SCAN level.

Calculated values
M_tot: 0.00 μB/f.u.
Formation energy (no corrections): -3379 meV/atom
DOS(E_F): 0.00 states/eV per cell
Energy above the most stable polymorph in this dataset: 0.13 kcal/mol of atoms

Lattice parameters (Å, degrees): 16.8983 3.8827 9.4770 90.00 103.09 90.00
With the nearest neighbours (Å) after each atom.
Space group C2/m (No. 12)
Asymmetric unit:
Ba  0.0000  0.0000  0.0000 [2 per cell]  12 O 2.80-3.01
Ba  0.1307  0.0000  0.4833 [4 per cell]  9 O 2.69-2.97
Ti  0.0387  0.5000  0.7100 [4 per cell]  6 O 1.94-2.11
Ti  0.1668  0.5000  0.1954 [4 per cell]  2 O 1.73-1.88
Ti  0.2061  0.5000  0.8732 [4 per cell]  4 O 1.81-2.00
O  0.0000  0.5000  0.5000 [2 per cell]  2 Ti 1.95
O  0.0342  0.0000  0.7089 [4 per cell]  2 Ti 1.94
O  0.0581  0.5000  0.2110 [4 per cell]  2 Ti 1.88-1.95
O  0.1076  0.5000  0.9261 [4 per cell]  1 Ti 1.84
O  0.1523  0.5000  0.6853 [4 per cell]  2 Ti 1.81-1.99
O  0.1753  0.0000  0.1608 [4 per cell]  3 Ti 1.98-2.10
O  0.2114  0.5000  0.3786 [4 per cell]  1 Ti 1.73
O  0.2349  0.0000  0.8996 [4 per cell]  4 Ti 2.00-2.16

---

7.
Below is a PBEsol-optimized structure of K3HoCl6, with properties calculated at the meta-GGA SCAN level.

Calculated values
M_tot: 0.00 μB/f.u.
Formation energy (no corrections): -2286 meV/atom
DOS(E_F): 0.00 states/eV per cell

Lattice parameters (Å, degrees): 10.9679 10.9679 10.9679 90.00 90.00 90.00
With the nearest neighbours (Å) after each atom.
Space group Fm-3m (No. 225)
Asymmetric unit:
K  0.0000  0.0000  0.0000 [4 per cell]  6 Cl 2.90
K  0.2500  0.2500  0.2500 [8 per cell]  12 Cl 3.88
Ho  0.0000  0.0000  0.5000 [4 per cell]  6 Cl 2.58
Cl  0.0000  0.0000  0.2647 [24 per cell]  1 Ho 2.58

---

8.
Below is a PBEsol-optimized structure of InGe3Ir, with properties calculated at the meta-GGA SCAN level.

Calculated values
E_form: 0.27 eV/atom
M_tot: 0.00 μB/f.u.
DOS(E_F): 2.51 states/eV per cell

Lattice parameters (Å, degrees): 4.8079 4.8079 4.8079 90.00 90.00 90.00
With the nearest neighbours (Å) after each atom.
Space group Pm-3m (No. 221)
Asymmetric unit:
In  0.0000  0.0000  0.0000 [1 per cell]  12 Ge 3.40
Ge  0.0000  0.5000  0.5000 [3 per cell]  2 Ir 2.40
Ir  0.5000  0.5000  0.5000 [1 per cell]  6 Ge 2.40

---

9.
Below is a PBEsol-optimized structure of TbCdAu2, with properties calculated at the meta-GGA SCAN level.

Calculated values
E_form: -0.82 eV/atom
M_tot: 0.00 μB/f.u.
DOS(E_F): 7.43 states/eV per cell

Lattice parameters (Å, degrees): 6.8518 6.8518 6.8518 90.00 90.00 90.00
With the nearest neighbours (Å) after each atom.
Space group Fm-3m (No. 225)
Asymmetric unit:
Tb  0.0000  0.0000  0.0000 [4 per cell]  8 Au 2.97
Cd  0.0000  0.0000  0.5000 [4 per cell]  8 Au 2.97
Au  0.2500  0.2500  0.2500 [8 per cell]  4 Tb 2.97, 4 Cd 2.97

---

10.
Below is a PBEsol-optimized structure of KCdRu, with properties calculated at the meta-GGA SCAN level.

Calculated values
E_form: 1.23 eV/atom
M_tot: 1.24 μB/f.u.
DOS(E_F): 24.97 states/eV per cell

Lattice parameters (Å, degrees): 6.6708 6.6708 6.6708 90.00 90.00 90.00
With the nearest neighbours (Å) after each atom.
Space group F-43m (No. 216)
Asymmetric unit:
K  0.0000  0.0000  0.0000 [4 per cell]  4 Ru 2.89
Cd  0.0000  0.0000  0.5000 [4 per cell]  4 Ru 2.89
Ru  0.2500  0.2500  0.2500 [4 per cell]  4 Cd 2.89, 4 K 2.89

---

11.
Below is a PBEsol-optimized structure of Li3Ni, with properties calculated at the meta-GGA SCAN level.

Calculated values
E_form: 0.12 eV/atom
M_tot: 0.00 μB/f.u.
DOS(E_F): 3.33 states/eV per cell

Lattice parameters (Å, degrees): 2.6396 4.5174 9.0236 90.00 90.00 90.00
With the nearest neighbours (Å) after each atom.
Space group Immm (No. 71)
Asymmetric unit:
Li  0.0000  0.0000  0.0000 [2 per cell]  4 Ni 2.62, 6 Li 2.64-2.77
Li  0.0000  0.5000  0.2296 [4 per cell]  2 Ni 2.46, 6 Li 2.64
Ni  0.0000  0.0000  0.5000 [2 per cell]  8 Li 2.46-2.62, 2 Ni 2.64

---

Q: Look up the DOS(E_F) of the eighth one.
A: 2.51 states/eV per cell